# 1
B10H13Br: optimized geometry, GGA-PBEsol.

```
96
Lattice="-6.910 1.473 2.940 -4.555 -2.186 -9.610 1.138 -9.632 7.499" Properties=species:S:1:pos:R:3 pbc="T T T"
B -9.151 -1.765 -5.962
B -5.548 -1.720 -1.619
B -4.581 -9.292 0.848
B -4.780 -8.625 2.448
B -3.875 -6.547 0.756
B -7.890 -2.487 -4.918
B 0.175 -7.243 4.479
B -7.389 -1.015 0.643
B -8.535 -1.482 -0.547
B -4.017 -7.990 -0.200
B -9.398 -1.853 -4.239
B -5.075 -2.681 -0.185
B -5.746 -1.053 -0.018
B 0.537 -8.180 5.960
B -2.197 -6.099 5.924
B -8.155 -3.142 -6.483
B -9.843 -4.655 -4.258
B -7.067 -0.631 -1.074
B -1.560 -6.935 4.529
B -7.971 -2.702 0.611
B -6.453 -3.799 0.073
B -2.939 -9.331 0.186
B -5.776 -3.477 -1.534
B -10.865 -2.165 -5.130
B -8.768 -3.411 -3.700
B -1.177 -8.580 6.791
B -5.253 -7.665 1.015
B -0.930 -8.492 5.068
B -10.503 -3.102 -3.650
B -6.718 -1.698 4.641
B -3.261 -9.715 1.903
B -1.792 -8.863 1.376
B -8.131 -4.246 -5.095
B -3.610 -8.647 -3.812
B -6.311 -2.356 1.029
B -4.551 -6.868 2.363
B -0.485 -5.690 5.088
B -2.173 -7.204 7.313
B -2.357 -7.644 0.218
B -2.438 -7.859 5.748
H -4.072 -2.204 3.287
H -5.545 -9.858 -1.864
H -5.334 -10.191 0.589
H -6.531 -0.892 3.552
H -3.797 -9.453 -2.723
H -6.152 -5.892 6.381
H -7.005 -3.915 -1.115
H -5.490 -7.505 9.033
H -6.025 -9.191 5.900
H -4.994 -0.155 0.240
H -7.574 -7.742 4.495
H -6.023 -2.572 2.179
H -3.487 -8.376 5.482
H -3.958 -7.840 3.120
H -4.783 -0.487 2.694
H -6.256 -8.142 -2.458
H -7.687 -0.211 1.482
H -5.401 -3.541 5.871
H -6.393 -4.908 0.519
H -2.384 0.015 -0.113
H -4.838 -2.841 -8.203
H -2.401 -8.950 2.572
H -7.927 -1.396 -1.743
H -4.523 -7.753 -3.319
H -4.305 -7.773 -1.350
H -4.176 -4.453 -5.552
H -3.934 -5.438 0.310
H -7.944 -10.360 0.943
H -2.889 -0.996 2.166
H -3.032 -5.245 5.850
H -2.754 -2.603 -3.666
H -8.560 -2.826 -0.577
H -4.303 -1.155 -5.071
H -6.384 -7.421 0.706
H -4.806 -1.269 -2.443
H -7.439 -9.350 -1.337
H -5.522 -9.076 3.272
H -4.926 -6.805 -5.042
H -5.805 -2.592 4.148
H -8.227 -3.681 -2.657
H -3.944 -2.924 0.124
H -3.323 -6.431 1.944
H -9.381 -0.798 -3.667
H -7.296 -5.101 -5.020
H -2.641 -10.135 -0.652
H -2.101 -6.665 3.487
H -1.767 -7.520 1.406
H -1.833 -4.687 -1.571
H -8.495 -5.659 2.400
H -6.840 -1.970 -4.653
H -0.947 -9.547 4.497
H -6.370 -2.505 -2.290
Br -5.273 -5.549 3.560
Br -8.776 -6.381 -0.723
Br -5.055 -4.797 -2.730
Br -1.551 -3.965 1.553
```

For the total energy, the calculation gives -468.24 eV for the cell shown. Its theoretical density is 1.45 g/cm3. The value obtained for the size of the total moment is 0.0 Bohr magnetons per cell.

# 2
MnBeSe2: optimized geometry, GGA-PBEsol.

```
4
Lattice="-1.595 -1.744 2.016 2.408 -1.950 0.218 2.240 3.281 4.610" Properties=species:S:1:pos:R:3 pbc="T T T"
Se 0.564 0.825 1.160
Se 1.677 2.455 3.451
Mn 1.527 -0.207 3.422
Be 0.407 -1.847 1.117
```

For the total energy, the calculation gives -20.51 eV for the cell shown. Its formation energy without anion corrections is 1.0 eV per formula unit. Its theoretical density is 6.27 g/cm3. The value obtained for the size of the total moment is 2.9 Bohr magnetons per cell.

# 3
SrTaPt2: optimized geometry, GGA-PBEsol.

```
4
Lattice="-2.480 0.242 -1.399 -2.480 -0.720 4.271 0.010 5.406 0.917" Properties=species:S:1:pos:R:3 pbc="T T T"
Sr 0.004 2.033 0.345
Ta -2.471 4.485 2.237
Pt -2.476 1.783 1.779
Pt 0.009 4.735 0.803
```

For the total energy, the calculation gives -28.73 eV for the cell shown. Its theoretical density is 13.99 g/cm3. The calculation puts the formation energy at -10.0 kJ per mole of atoms. The value obtained for the size of the total moment is 0.0 Bohr magnetons per cell.

# 4
Eu2CrSbO6: optimized geometry, GGA-PBEsol.

```
10
Lattice="-3.365 3.806 -2.309 -2.771 -1.205 -4.692 -5.532 -0.719 0.133" Properties=species:S:1:pos:R:3 pbc="T T T"
Sb -5.834 0.941 -3.434
O -4.594 2.379 -2.869
O -7.372 2.018 -2.802
O -4.296 -0.137 -4.065
O -7.074 -0.498 -3.998
O -5.683 0.107 -1.643
O -5.986 1.774 -5.225
Eu -2.917 0.470 -1.717
Eu -8.751 1.411 -5.151
Cr 0.000 0.000 0.000
```

For the total energy, the calculation gives -89.91 eV for the cell shown. Its formation energy without anion corrections is -22.5 eV per formula unit. Its theoretical density is 7.75 g/cm3. The value obtained for the size of the total moment is 17.0 Bohr magnetons per cell.

# 5
BaFe2O4: optimized geometry, GGA-PBEsol.

```
28
Lattice="-2.938 -4.129 1.773 7.034 -4.525 1.120 -2.801 5.585 8.365" Properties=species:S:1:pos:R:3 pbc="T T T"
Fe -0.300 -2.104 6.737
Fe -3.254 -0.204 6.266
Fe -0.044 -1.150 9.751
Fe 4.571 -2.834 4.979
Fe 4.352 -4.085 2.071
Fe 1.228 -2.075 1.574
Fe -3.168 0.860 9.254
Fe 1.617 -0.935 4.508
O 3.414 -1.404 4.677
O -1.610 3.864 8.090
O -1.362 2.506 5.150
O 2.834 -2.991 1.907
O 3.739 -5.762 2.666
O -1.477 -0.763 6.194
O 3.559 -4.308 5.565
O -3.377 1.270 7.429
O 0.565 -2.382 5.088
O 2.291 1.354 8.711
O -0.163 -3.252 2.044
O 1.631 0.580 5.626
O 1.256 -0.567 2.699
O 0.808 -1.422 8.096
O -1.579 -0.135 9.375
O 5.441 -3.259 3.365
Ba 3.358 -0.787 7.522
Ba -0.260 1.414 7.347
Ba 1.404 -4.696 4.002
Ba -1.963 -2.142 3.676
```

For the total energy, the calculation gives -209.54 eV for the cell shown. Its formation energy without anion corrections is -11.3 eV per formula unit. Its theoretical density is 4.81 g/cm3. The value obtained for the size of the total moment is 39.3 Bohr magnetons per cell.

# 6
CuAg3S: optimized geometry, GGA-PBEsol.

```
5
Lattice="-0.104 -3.628 -2.969 4.686 0.015 -0.182 0.150 -2.971 3.625" Properties=species:S:1:pos:R:3 pbc="T T T"
Ag -0.052 -1.814 -1.484
Ag 0.075 -1.485 1.813
Ag 2.343 0.007 -0.091
S 0.000 0.000 0.000
Cu 2.366 -3.292 0.237
```

For the total energy, the calculation gives -15.48 eV for the cell shown. Its formation energy without anion corrections is 3.2 eV per formula unit. Its theoretical density is 6.75 g/cm3. The value obtained for the size of the total moment is 0.0 Bohr magnetons per cell.

# 7
CrRhW2: optimized geometry, GGA-PBEsol.

```
4
Lattice="-1.142 1.347 1.994 0.615 -2.305 1.183 7.267 3.025 2.117" Properties=species:S:1:pos:R:3 pbc="T T T"
W 5.083 1.746 3.146
W 0.084 0.035 0.024
Cr 3.531 1.470 1.029
Rh 1.676 0.328 2.153
```

For the total energy, the calculation gives -45.56 eV for the cell shown. Its theoretical density is 15.33 g/cm3. The calculation puts the formation energy at 10.4 kJ per mole of atoms. The calculation puts the energy above the most stable polymorph in this dataset at 0.0 meV/atom. The value obtained for the size of the total moment is 0.0 Bohr magnetons per cell.

# 8
NaAsSe2I: optimized geometry, GGA-PBEsol.

```
5
Lattice="-1.852 4.138 -2.824 -4.209 -3.049 -1.707 -2.934 1.633 4.318" Properties=species:S:1:pos:R:3 pbc="T T T"
As -0.926 2.069 -1.412
Na -4.498 1.361 -0.106
I 0.000 0.000 0.000
Se -2.105 -1.524 -0.854
Se -1.467 0.817 2.159
```

For the total energy, the calculation gives -13.55 eV for the cell shown. Its formation energy without anion corrections is 2.4 eV per formula unit. Its theoretical density is 3.98 g/cm3. The value obtained for the size of the total moment is 1.0 Bohr magnetons per cell.

# 9
AgPb3: optimized geometry, GGA-PBEsol.

```
4
Lattice="-3.438 -0.569 -0.647 0.180 -4.837 3.297 0.391 5.476 2.810" Properties=species:S:1:pos:R:3 pbc="T T T"
Pb -1.616 -3.048 1.560
Pb -0.591 -1.527 4.483
Pb -2.224 0.212 1.921
Ag 0.176 -4.720 3.218
```

For the total energy, the calculation gives -14.93 eV for the cell shown. Its theoretical density is 11.37 g/cm3. The calculation puts the formation energy at 9.0 kJ per mole of atoms. The value obtained for the size of the total moment is 0.0 Bohr magnetons per cell.

# 10
Zn2TcTe: optimized geometry, GGA-PBEsol.

```
4
Lattice="-2.638 -1.263 0.925 -0.641 -1.201 -4.279 2.319 -4.230 0.840" Properties=species:S:1:pos:R:3 pbc="T T T"
Te -0.480 -3.347 -1.257
Zn -2.454 -1.864 -2.613
Zn -0.825 -0.599 -0.741
Tc 1.160 -2.115 0.420
```

For the total energy, the calculation gives -16.38 eV for the cell shown. Its formation energy without anion corrections is 1.6 eV per formula unit. Its theoretical density is 8.79 g/cm3. The value obtained for the size of the total moment is 0.5 Bohr magnetons per cell.

# 11
RbIrNF2: optimized geometry, GGA-PBEsol.

```
5
Lattice="3.673 0.000 0.000 0.000 4.528 0.000 0.000 0.000 4.528" Properties=species:S:1:pos:R:3 pbc="T T T"
F 0.000 2.264 0.000
F 0.000 0.000 2.264
Ir 0.000 0.000 0.000
Rb 1.836 2.264 2.264
N 1.836 0.000 0.000
```

For the total energy, the calculation gives -28.23 eV for the cell shown. Its formation energy without anion corrections is -5.0 eV per formula unit. Its theoretical density is 7.27 g/cm3. The value obtained for the size of the total moment is 0.0 Bohr magnetons per cell.

# 12
NaYB2N: optimized geometry, GGA-PBEsol.

```
5
Lattice="-0.773 3.291 -1.917 1.240 -1.632 -3.302 -4.053 -1.427 -0.816" Properties=species:S:1:pos:R:3 pbc="T T T"
B 0.620 -0.816 -1.651
B -0.386 1.645 -0.958
Y -2.027 -0.714 -0.408
Na -1.793 0.116 -3.017
N 0.000 0.000 0.000
```

For the total energy, the calculation gives -25.76 eV for the cell shown. Its formation energy without anion corrections is 5.0 eV per formula unit. Its theoretical density is 3.71 g/cm3. The value obtained for the size of the total moment is 0.0 Bohr magnetons per cell.